Record 1
Compound: BeAl2As
Source: Alexandria via LeMat-Bulk
Functional: GGA-PBE
Structure: optimized geometry

Results
For the energy of formation from the pure elements, the calculation gives 387 meV per atom. The distance to the lowest polymorph of the same formula is 311.3 meV/atom. As for the size of the total moment: 0.0 μB per cell. The density is 3.60 g/cm3.

a b c (Å): 6.3348 6.3348 6.3348
angles (deg): 90.00 90.00 90.00
Space group F-43m (No. 216)
Symmetry-distinct sites (fractional):
Be: 0.0000 0.0000 0.0000 (multiplicity 4)
Al: 0.0000 0.0000 0.5000 (multiplicity 4)
Al: 0.2500 0.2500 0.2500 (multiplicity 4)
As: 0.2500 0.2500 0.7500 (multiplicity 4)

=====

Record 2
Compound: Tl7Ag6
Source: Alexandria via LeMat-Bulk
Functional: GGA-PBE
Structure: optimized geometry

Results
For the energy of formation from the pure elements, the calculation gives 319 meV per atom. As for the size of the total moment: 0.0 μB per cell. The density is 9.72 g/cm3.

a b c (Å): 6.7574 6.7574 26.9409
angles (deg): 90.00 90.00 120.00
Space group R-3m (No. 166, hexagonal axes)
Symmetry-distinct sites (fractional):
Tl: 0.0000 0.0000 0.0000 (multiplicity 3)
Tl: 0.0179 0.5090 0.4184 (multiplicity 18)
Ag: 0.0000 0.0000 0.1621 (multiplicity 6)
Ag: 0.0000 0.0000 0.3425 (multiplicity 6)
Ag: 0.0000 0.0000 0.4463 (multiplicity 6)

=====

Record 3
Compound: Li3BO3
Source: Alexandria via LeMat-Bulk
Functional: GGA-PBE
Structure: optimized geometry

Results
The distance to the lowest polymorph of the same formula is 65.2 meV/atom. The calculation puts the energy relative to the elements, uncorrected at -2.188 eV per atom. As for the size of the total moment: 0.0 μB per cell. The density is 2.13 g/cm3.

a b c (Å): 5.7233 5.7233 4.3716
angles (deg): 90.00 90.00 120.00
Space group P6_3/m (No. 176)
Symmetry-distinct sites (fractional):
Li: 0.0872 0.3471 0.2500 (multiplicity 6)
B: 0.3333 0.6667 0.7500 (multiplicity 2)
O: 0.1062 0.4090 0.7500 (multiplicity 6)

=====

Record 4
Compound: Be2NbAsH
Source: Alexandria via LeMat-Bulk
Functional: GGA-PBE
Structure: optimized geometry

Results
As for the size of the total moment: 0.0 μB per cell. Its total energy is -24.59 eV for the cell shown. The density is 5.65 g/cm3.

a b c (Å): 3.8339 3.8339 3.7388
angles (deg): 90.00 90.00 90.00
Space group P4/mmm (No. 123)
Symmetry-distinct sites (fractional):
Be: 0.0000 0.5000 0.0000 (multiplicity 2)
Nb: 0.0000 0.0000 0.5000 (multiplicity 1)
As: 0.5000 0.5000 0.5000 (multiplicity 1)
H: 0.0000 0.0000 0.0000 (multiplicity 1)